GaNi17 | PBE | relaxed

```
data_GaNi17
_cell_length_a 4.284
_cell_length_b 4.956
_cell_length_c 31.054
_cell_angle_alpha 90.00
_cell_angle_beta 90.09
_cell_angle_gamma 90.00
_symmetry_space_group_name_H-M 'P 1 m 1'
_symmetry_Int_Tables_number 6
loop_
_symmetry_equiv_pos_as_xyz
'x,y,z'
'x,-y,z'
loop_
_atom_site_label
_atom_site_type_symbol
_atom_site_fract_x
_atom_site_fract_y
_atom_site_fract_z
_atom_site_occupancy
Ga1 Ga 0.000 0.000 0.000 1
Ga2 Ga 0.332 0.500 0.534 1
Ni1 Ni 0.001 0.500 0.397 1
Ni2 Ni 0.166 0.250 0.072 1
Ni3 Ni 0.166 0.250 0.267 1
Ni4 Ni 0.166 0.251 0.462 1
Ni5 Ni 0.331 0.000 0.137 1
Ni6 Ni 0.332 0.500 0.332 1
Ni7 Ni 0.333 0.000 0.332 1
Ni8 Ni 0.333 0.000 0.527 1
Ni9 Ni 0.334 0.500 0.137 1
Ni10 Ni 0.499 0.250 0.202 1
Ni11 Ni 0.499 0.250 0.397 1
Ni12 Ni 0.500 0.253 0.007 1
Ni13 Ni 0.665 0.500 0.071 1
Ni14 Ni 0.665 0.500 0.462 1
Ni15 Ni 0.666 0.000 0.267 1
Ni16 Ni 0.666 0.500 0.267 1
Ni17 Ni 0.667 0.000 0.071 1
Ni18 Ni 0.667 0.000 0.462 1
Ni19 Ni 0.832 0.247 0.527 1
Ni20 Ni 0.832 0.250 0.137 1
Ni21 Ni 0.832 0.250 0.332 1
Ni22 Ni 0.998 0.000 0.396 1
Ni23 Ni 0.998 0.500 0.007 1
Ni24 Ni 0.998 0.500 0.202 1
Ni25 Ni 0.999 0.000 0.202 1
```



GaNi124 | PBE | relaxed

```
data_GaNi124
_cell_length_a 17.560
_cell_length_b 17.560
_cell_length_c 17.560
_cell_angle_alpha 90.00
_cell_angle_beta 90.00
_cell_angle_gamma 90.00
_symmetry_space_group_name_H-M 'F m -3 m'
_symmetry_Int_Tables_number 225
_symmetry_space_group_name_Hall '-F 4 2 3'
loop_
_atom_site_label
_atom_site_type_symbol
_atom_site_fract_x
_atom_site_fract_y
_atom_site_fract_z
_atom_site_occupancy
Ga1 Ga 0.000 0.000 0.000 1
Ni1 Ni 0.000 0.000 0.200 1
Ni2 Ni 0.000 0.000 0.400 1
Ni3 Ni 0.000 0.100 0.300 1
Ni4 Ni 0.000 0.101 0.101 1
Ni5 Ni 0.000 0.200 0.200 1
Ni6 Ni 0.100 0.100 0.200 1
Ni7 Ni 0.100 0.100 0.400 1
Ni8 Ni 0.100 0.200 0.300 1
Ni9 Ni 0.200 0.200 0.200 1
```



Np2Ga8Ni | PBE | relaxed

```
data_Np2Ga8Ni
_cell_length_a 4.245
_cell_length_b 4.245
_cell_length_c 11.135
_cell_angle_alpha 90.00
_cell_angle_beta 90.00
_cell_angle_gamma 90.00
_symmetry_space_group_name_H-M 'P 4/m m m'
_symmetry_Int_Tables_number 123
_symmetry_space_group_name_Hall '-P 4 2'
loop_
_atom_site_label
_atom_site_type_symbol
_atom_site_fract_x
_atom_site_fract_y
_atom_site_fract_z
_atom_site_occupancy
Np1 Np 0.000 0.000 0.194 1
Ga1 Ga 0.000 0.500 0.000 1
Ga2 Ga 0.000 0.500 0.380 1
Ga3 Ga 0.500 0.500 0.193 1
Ni1 Ni 0.000 0.000 0.500 1
```



GaNi2Os | PBE | relaxed

```
data_GaNi2Os
_cell_length_a 5.864
_cell_length_b 5.864
_cell_length_c 5.864
_cell_angle_alpha 90.00
_cell_angle_beta 90.00
_cell_angle_gamma 90.00
_symmetry_space_group_name_H-M 'F -4 3 m'
_symmetry_Int_Tables_number 216
_symmetry_space_group_name_Hall 'F -4 2 3'
loop_
_atom_site_label
_atom_site_type_symbol
_atom_site_fract_x
_atom_site_fract_y
_atom_site_fract_z
_atom_site_occupancy
Ga1 Ga 0.000 0.000 0.000 1
Ni1 Ni 0.000 0.000 0.500 1
Ni2 Ni 0.250 0.250 0.750 1
Os1 Os 0.250 0.250 0.250 1
```



| no. | E_tot (eV/atom) | volume (Å³ per atom) |
| --- | --- | --- |
| 1 | -5.365 | 18.3 |
| 2 | -5.558 | 10.8 |
| 3 | -5.330 | 18.2 |
| 4 | -6.309 | 12.6 |